No. 1
## ErThMn2 (GGA-PBE)

Data for ErThMn2 after structural relaxation.

Calculated values
ρ (g/cm³): 9.72
Space group: P4/mmm (123)
Energy (eV per atom): -7.402

Lattice parameters (Å, degrees): 3.5645 3.5645 6.8457 90.00 90.00 90.00
With the nearest neighbours (Å) after each atom.
Positions (direct):
Er 0.0000 0.0000 0.0000  8 Mn 3.16, 2 Th 3.42
Th 0.0000 0.0000 0.5000  8 Mn 2.94
Mn 0.5000 0.5000 0.2791  4 Th 2.94, 1 Mn 3.02, 4 Er 3.16
Mn 0.5000 0.5000 0.7209  4 Th 2.94, 1 Mn 3.02, 4 Er 3.16

No. 2
## ErThMn (GGA-PBE)

Data for ErThMn after structural relaxation.

Calculated values
ρ (g/cm³): 10.24
Space group: Cm (8)
Offset from the most stable computed form (kJ/mol of atoms): 0.0

Lattice parameters (Å, degrees): 6.1137 6.1137 8.2560 125.47 125.47 37.16
With the nearest neighbours (Å) after each atom.
Positions (direct):
Er 0.0000 0.0000 0.0000  2 Mn 2.87
Er 0.2459 0.2459 0.5536  4 Mn 2.91-3.03
Th 0.4076 0.4076 0.2729  4 Mn 2.89-2.93
Th 0.6353 0.6353 0.8144  2 Mn 2.69
Mn 0.7168 0.7168 0.2695  1 Mn 2.28
Mn 0.9505 0.9505 0.5642  1 Mn 2.28

No. 3
## Er2ThMn (GGA-PBE)

Data for Er2ThMn after structural relaxation.

Calculated values
ρ (g/cm³): 9.77
Space group: P4/mmm (123)
Energy (eV per atom): -6.300

Lattice parameters (Å, degrees): 3.4709 3.4709 8.7645 90.00 90.00 90.00
With the nearest neighbours (Å) after each atom.
Positions (direct):
Er 0.0000 0.0000 0.2001  4 Mn 3.02
Er 0.0000 0.0000 0.7999  4 Mn 3.02
Th 0.5000 0.5000 0.5000  4 Th 3.47, 8 Er 3.60
Mn 0.5000 0.5000 0.0000  8 Er 3.02